Material: ScTaTe2
Method: DFT, GGA-PBE
State: relaxed Values from VASP.

Cell and atoms, written as Quantum ESPRESSO input:
```
&SYSTEM
  ibrav = 0, nat = 4, ntyp = 3
/
ATOMIC_SPECIES
Sc 44.96 Sc.upf
Te 127.60 Te.upf
Ta 180.95 Ta.upf
CELL_PARAMETERS angstrom
5.4129 0.0000 0.0000
0.0000 3.6174 0.0000
0.0000 -0.0020 4.6925
ATOMIC_POSITIONS crystal
Sc 0.0000 0.3751 0.4853
Te 0.5000 0.3747 0.2905
Ta 0.5000 0.8749 0.7640
Te 0.0000 0.8753 0.9603
```

D(E_F) in states/eV/cell: 2.9
Calculated density in g/cm³: 8.69
Spin magnetization in μB/cell: 0.000
Energy relative to the lowest polymorph listed for this composition in eV per atom: 0.227
Uncorrected formation energy in eV/atom: -0.31
Final energy in eV/atom: -6.430

---

Material: PaHgSb
Method: DFT, GGA-PBE
State: relaxed Values from VASP.

Cell and atoms, written as Quantum ESPRESSO input:
```
&SYSTEM
  ibrav = 0, nat = 6, ntyp = 3
/
ATOMIC_SPECIES
Sb 121.76 Sb.upf
Hg 200.59 Hg.upf
Pa 231.04 Pa.upf
CELL_PARAMETERS angstrom
-0.8739 -3.9625 0.9173
3.9086 -0.5586 1.3105
-4.6646 5.4416 9.6288
ATOMIC_POSITIONS crystal
Sb 0.8392 0.8392 0.6785
Sb 0.1608 0.1608 0.3215
Hg 0.4361 0.4361 0.8722
Pa 0.7019 0.7019 0.4039
Pa 0.2981 0.2981 0.5961
Hg 0.5639 0.5639 0.1278
```

D(E_F) in states/eV/cell: 8.4
Calculated density in g/cm³: 9.13
Spin magnetization in μB/cell: 1.173
Energy relative to the lowest polymorph listed for this composition in eV per atom: 0.086
Uncorrected formation energy in eV/atom: -0.18
Final energy in eV/atom: -4.819

---

Material: CeHfTh
Method: DFT, GGA-PBE
State: relaxed Values from VASP.

Cell and atoms, written as Quantum ESPRESSO input:
```
&SYSTEM
  ibrav = 0, nat = 3, ntyp = 3
/
ATOMIC_SPECIES
Hf 178.49 Hf.upf
Ce 140.12 Ce.upf
Th 232.04 Th.upf
CELL_PARAMETERS angstrom
3.3494 0.0000 0.0000
0.0000 5.3444 0.0000
0.0000 -2.6722 4.6284
ATOMIC_POSITIONS crystal
Hf 0.1679 0.3333 0.6667
Ce 0.1654 0.0000 0.0000
Th 0.6667 0.6667 0.3333
```

DFT formation energy in eV/atom: 0.19
D(E_F) in states/eV/cell: 6.8
Calculated density in g/cm³: 11.04
Spin magnetization in μB/cell: 0.284
Energy relative to the lowest polymorph listed for this composition in eV per atom: 0.075
Final energy in eV/atom: -7.580

---

Material: K2Mg
Method: DFT, GGA-PBE
State: relaxed Values from VASP.

Cell and atoms, written as Quantum ESPRESSO input:
```
&SYSTEM
  ibrav = 0, nat = 6, ntyp = 2
/
ATOMIC_SPECIES
K 39.10 K.upf
Mg 24.30 Mg.upf
CELL_PARAMETERS angstrom
3.2864 -5.6922 0.0000
3.2864 5.6922 0.0000
0.0000 0.0000 8.1231
ATOMIC_POSITIONS crystal
K 0.0000 0.0000 0.5000
K 0.3333 0.6667 0.2500
Mg 0.6667 0.3333 0.2500
Mg 0.3333 0.6667 0.7500
K 0.0000 0.0000 0.0000
K 0.6667 0.3333 0.7500
```

DFT formation energy in eV/atom: 0.19
D(E_F) in states/eV/cell: 4.4
Calculated density in g/cm³: 1.12
Spin magnetization in μB/cell: 0.000
Energy relative to the lowest polymorph listed for this composition in eV per atom: 0.052
Final energy in eV/atom: -1.076